Record 1
Mg3MnCd after structural relaxation. Source: Alexandria, functional PBE.

Cell lengths 4.9350, 4.9350, 4.9350 Å; angles 90.00, 90.00, 90.00 degrees
With the nearest neighbours (Å) after each atom.
Atoms (fractional coordinates):
Mg1 0.0000 0.0000 0.5000  2 Mn 2.47
Mg2 0.0000 0.5000 0.0000  2 Mn 2.47
Mg3 0.5000 0.0000 0.0000  2 Mn 2.47
Cd1 0.5000 0.5000 0.5000  12 Mg 3.49
Mn1 0.0000 0.0000 0.0000  6 Mg 2.47

The value obtained for the energy above the most stable polymorph in this dataset is 0.119 eV/atom. The calculation puts the formation energy at 794 meV per atom. The space group is No. 221.


Record 2
Mg2BiSb2 after structural relaxation. Source: Alexandria, functional PBE.

Cell lengths 4.3972, 4.3972, 7.9047 Å; angles 73.85, 73.85, 90.00 degrees
With the nearest neighbours (Å) after each atom.
Atoms (fractional coordinates):
Mg1 0.7500 0.2500 0.5000  4 Sb 2.93, 4 Mg 3.11
Mg2 0.2500 0.7500 0.5000  4 Sb 2.93, 4 Mg 3.11
Sb1 0.6169 0.6169 0.7662  4 Mg 2.93
Sb2 0.3831 0.3831 0.2338  4 Mg 2.93
Bi1 0.0000 0.0000 0.0000  8 Sb 3.54

As for the formation energy from raw total energies: 0.018 eV/atom. The value obtained for the energy above the most stable polymorph in this dataset is 0.128 eV/atom. The space group is No. 139.


Record 3
Cu2AgSn after structural relaxation. Source: Alexandria, functional PBE.

Cell lengths 3.6742, 4.2100, 4.2100 Å; angles 90.00, 90.00, 90.00 degrees
With the nearest neighbours (Å) after each atom.
Atoms (fractional coordinates):
Cu1 0.0000 0.5000 0.0000  4 Ag 2.79, 4 Sn 2.79, 4 Cu 2.98
Cu2 0.0000 0.0000 0.5000  4 Ag 2.79, 4 Sn 2.79, 4 Cu 2.98
Ag1 0.5000 0.5000 0.5000  8 Cu 2.79, 4 Sn 2.98
Sn1 0.5000 0.0000 0.0000  8 Cu 2.79, 4 Ag 2.98

The calculation puts the formation energy at 78 meV per atom. The space group is No. 123.


Record 4
Pm7Sm2Er2 after structural relaxation. Source: Alexandria, functional PBE.

Cell lengths 10.0531, 6.3669, 6.3669 Å; angles 113.56, 91.19, 91.19 degrees
With the nearest neighbours (Å) after each atom.
Atoms (fractional coordinates):
Pm1 0.1491 0.5796 0.1704  7 Pm 3.39-3.68, 2 Sm 3.43-3.67, 1 Er 3.61
Pm2 0.6334 0.8153 0.8153  3 Pm 3.39-3.79, 3 Sm 3.41-3.74, 4 Er 3.46-3.51
Pm3 0.0000 0.0000 0.0000  10 Pm 3.61-3.86, 2 Sm 3.63
Pm4 0.8509 0.8296 0.4204  7 Pm 3.39-3.68, 2 Sm 3.43-3.67, 1 Er 3.61
Pm5 0.1491 0.1704 0.5796  7 Pm 3.39-3.68, 2 Sm 3.43-3.67, 1 Er 3.61
Pm6 0.3666 0.1847 0.1847  3 Pm 3.39-3.79, 3 Sm 3.41-3.74, 4 Er 3.46-3.51
Pm7 0.8509 0.4204 0.8296  7 Pm 3.39-3.68, 2 Sm 3.43-3.67, 1 Er 3.61
Sm1 0.7105 0.2953 0.2953  8 Pm 3.41-3.74, 2 Er 3.55
Sm2 0.2895 0.7047 0.7047  8 Pm 3.41-3.74, 2 Er 3.55
Er1 0.5000 0.2723 0.7277  6 Pm 3.46-3.61, 2 Er 3.52, 2 Sm 3.55
Er2 0.5000 0.7277 0.2723  6 Pm 3.46-3.61, 2 Er 3.52, 2 Sm 3.55

The value obtained for the energy above the most stable polymorph in this dataset is 0.000 eV/atom. The calculation puts the formation energy at 99 meV per atom. The space group is No. 12.


Record 5
Cd4GeAu2 after structural relaxation. Source: Alexandria, functional PBE.

Cell lengths 4.4812, 4.4812, 9.6872 Å; angles 76.63, 76.63, 60.00 degrees
With the nearest neighbours (Å) after each atom.
Atoms (fractional coordinates):
Cd1 0.3798 0.3798 0.8606  3 Ge 2.90, 3 Au 2.91
Cd2 0.8026 0.8026 0.5922  4 Au 2.84-2.89, 3 Cd 3.11
Cd3 0.1974 0.1974 0.4078  4 Au 2.84-2.89, 3 Cd 3.11
Cd4 0.6202 0.6202 0.1394  3 Ge 2.90, 3 Au 2.91
Ge1 0.0000 0.0000 0.0000  2 Au 2.64, 6 Cd 2.90
Au1 0.9056 0.9056 0.2831  1 Ge 2.64, 7 Cd 2.84-2.91
Au2 0.0944 0.0944 0.7169  1 Ge 2.64, 7 Cd 2.84-2.91

The calculation puts the formation energy at -55 meV per atom. The space group is No. 166.


Record 6
LiScCu3 after structural relaxation. Source: Alexandria, functional PBE.

Cell lengths 4.8910, 4.8910, 4.8910 Å; angles 90.00, 90.00, 90.00 degrees
With the nearest neighbours (Å) after each atom.
Atoms (fractional coordinates):
Cu1 0.0000 0.5000 0.0000  2 Sc 2.45
Cu2 0.5000 0.0000 0.0000  2 Sc 2.45
Cu3 0.0000 0.0000 0.5000  2 Sc 2.45
Li1 0.5000 0.5000 0.5000  12 Cu 3.46
Sc1 0.0000 0.0000 0.0000  6 Cu 2.45

The value obtained for the energy above the most stable polymorph in this dataset is 0.594 eV/atom. The calculation puts the formation energy at 832 meV per atom. The space group is No. 221.


Record 7
TiMnVRe after structural relaxation. Source: Alexandria, functional PBE.

Cell lengths 3.0056, 3.0056, 6.0354 Å; angles 90.00, 90.00, 90.00 degrees
With the nearest neighbours (Å) after each atom.
Atoms (fractional coordinates):
Re1 0.0000 0.0000 0.8473  4 V 2.61, 4 Ti 2.68, 1 Mn 2.91
V1 0.5000 0.5000 0.5972  4 Mn 2.54, 4 Re 2.61
Mn1 0.0000 0.0000 0.3656  4 V 2.54, 4 Ti 2.60
Ti1 0.5000 0.5000 0.1179  4 Mn 2.60, 4 Re 2.68, 1 V 2.89

The value obtained for the energy above the most stable polymorph in this dataset is 0.000 eV/atom. The calculation puts the formation energy at -316 meV per atom. The space group is No. 99.


Record 8
RbPdOF2 after structural relaxation. Source: Alexandria, functional PBE.

Cell lengths 4.8656, 4.8656, 5.1689 Å; angles 90.00, 90.00, 90.00 degrees
With the nearest neighbours (Å) after each atom.
Atoms (fractional coordinates):
Rb1 0.0000 0.0000 0.0000  4 F 2.43, 2 O 2.58
Pd1 0.5000 0.5000 0.5000  4 O 3.44, 8 F 3.55
O1 0.0000 0.0000 0.5000  2 Rb 2.58
F1 0.0000 0.5000 0.0000  2 Rb 2.43
F2 0.5000 0.0000 0.0000  2 Rb 2.43

As for the formation energy from raw total energies: 0.012 eV/atom. The value obtained for the energy above the most stable polymorph in this dataset is 1.462 eV/atom. The space group is No. 123.


Record 9
Li2ZrTc after structural relaxation. Source: Alexandria, functional PBE.

Cell lengths 10.4669, 10.4669, 10.4669 Å; angles 15.28, 15.28, 15.28 degrees
With the nearest neighbours (Å) after each atom.
Atoms (fractional coordinates):
Tc1 0.2500 0.2500 0.2500  6 Tc 2.78, 6 Li 2.82
Li1 0.9914 0.9914 0.9914  6 Li 2.78, 3 Tc 2.82
Li2 0.5086 0.5086 0.5086  6 Li 2.78, 3 Tc 2.82
Zr1 0.7500 0.7500 0.7500  6 Zr 2.78

The value obtained for the energy above the most stable polymorph in this dataset is 0.232 eV/atom. The calculation puts the formation energy at 375 meV per atom. The space group is No. 166.


Record 10
KBeW2 after structural relaxation. Source: Alexandria, functional PBE.

Cell lengths 4.4947, 4.4947, 9.6524 Å; angles 76.54, 76.54, 90.00 degrees
With the nearest neighbours (Å) after each atom.
Atoms (fractional coordinates):
K1 0.0000 0.0000 0.0000  4 W 3.12, 4 Be 3.18
K2 0.7500 0.2500 0.5000  4 W 3.12, 4 Be 3.18
Be1 0.5000 0.5000 0.0000  4 W 2.58
Be2 0.2500 0.7500 0.5000  4 W 2.58
W1 0.2796 0.6250 0.2500  2 W 2.41, 2 Be 2.58
W2 0.3750 0.5296 0.7500  2 W 2.41, 2 Be 2.58
W3 0.4704 0.1250 0.2500  2 W 2.41, 2 Be 2.58
W4 0.8750 0.7204 0.7500  2 W 2.41, 2 Be 2.58

The calculation puts the formation energy at 1898 meV per atom. The space group is No. 122.


Record 11
TaAlPt2 after structural relaxation. Source: Alexandria, functional PBE.

Cell lengths 2.8941, 3.9987, 5.6002 Å; angles 90.00, 90.00, 90.00 degrees
With the nearest neighbours (Å) after each atom.
Atoms (fractional coordinates):
Ta1 0.0000 0.0000 0.4770  6 Pt 2.69-2.91, 2 Ta 2.89
Pt1 0.5000 0.5000 0.2738  2 Al 2.70-2.90, 4 Ta 2.72, 2 Pt 2.89
Pt2 0.0000 0.0000 0.9568  4 Al 2.63, 2 Ta 2.69-2.91, 2 Pt 2.89
Al1 0.5000 0.5000 0.7925  6 Pt 2.63-2.90, 2 Al 2.89

The calculation puts the formation energy at -629 meV per atom. The space group is No. 25.


Record 12
ZnP after structural relaxation. Source: Alexandria, functional PBE.

Cell lengths 7.9764, 13.0357, 7.0711 Å; angles 90.00, 90.00, 90.00 degrees
With the nearest neighbours (Å) after each atom.
Atoms (fractional coordinates):
P1 0.5000 0.8611 0.5000  4 Zn 2.29-2.57
P2 0.7500 0.6111 0.7500  4 Zn 2.29-2.57
P3 0.0000 0.8611 0.0000  4 Zn 2.29-2.57
P4 0.7500 0.1111 0.2500  4 Zn 2.29-2.57
P5 0.2500 0.3889 0.7500  4 Zn 2.29-2.57
P6 0.0000 0.1389 0.0000  4 Zn 2.29-2.57
P7 0.2500 0.6111 0.2500  4 Zn 2.29-2.57
P8 0.5000 0.3611 0.0000  4 Zn 2.29-2.57
P9 0.2500 0.8889 0.2500  4 Zn 2.29-2.57
P10 0.2500 0.1111 0.7500  4 Zn 2.29-2.57
P11 0.5000 0.1389 0.5000  4 Zn 2.29-2.57
P12 0.7500 0.3889 0.2500  4 Zn 2.29-2.57
P13 0.7500 0.8889 0.7500  4 Zn 2.29-2.57
P14 0.0000 0.6389 0.5000  4 Zn 2.29-2.57
P15 0.0000 0.3611 0.5000  4 Zn 2.29-2.57
P16 0.5000 0.6389 0.0000  4 Zn 2.29-2.57
Zn1 0.5218 0.7500 0.7500  4 P 2.29-2.57
Zn2 0.9782 0.2500 0.2500  4 P 2.29-2.57
Zn3 0.7718 0.5000 0.5000  4 P 2.29-2.57
Zn4 0.2282 0.5000 0.5000  4 P 2.29-2.57
Zn5 0.2718 0.0000 0.5000  4 P 2.29-2.57
Zn6 0.0218 0.2500 0.7500  4 P 2.29-2.57
Zn7 0.4782 0.2500 0.7500  4 P 2.29-2.57
Zn8 0.7282 0.5000 0.0000  4 P 2.29-2.57
Zn9 0.7282 0.0000 0.5000  4 P 2.29-2.57
Zn10 0.2718 0.5000 0.0000  4 P 2.29-2.57
Zn11 0.9782 0.7500 0.7500  4 P 2.29-2.57
Zn12 0.5218 0.2500 0.2500  4 P 2.29-2.57
Zn13 0.0218 0.7500 0.2500  4 P 2.29-2.57
Zn14 0.2282 0.0000 0.0000  4 P 2.29-2.57
Zn15 0.7718 0.0000 0.0000  4 P 2.29-2.57
Zn16 0.4782 0.7500 0.2500  4 P 2.29-2.57

The calculation puts the formation energy at 190 meV per atom. The space group is No. 70.


Record 13
MgZn3 after structural relaxation. Source: Alexandria, functional PBE.

Cell lengths 4.7666, 5.6321, 5.6320 Å; angles 120.03, 90.00, 90.00 degrees
With the nearest neighbours (Å) after each atom.
Atoms (fractional coordinates):
Zn1 0.7500 0.8366 0.6738  8 Zn 2.75-2.88, 4 Mg 2.82-2.91
Zn2 0.2500 0.1628 0.8371  8 Zn 2.75-2.88, 4 Mg 2.82-2.91
Zn3 0.2500 0.6738 0.8367  8 Zn 2.75-2.88, 4 Mg 2.82-2.91
Zn4 0.7500 0.3262 0.1633  8 Zn 2.75-2.88, 4 Mg 2.82-2.91
Zn5 0.7500 0.8372 0.1629  8 Zn 2.75-2.88, 4 Mg 2.82-2.91
Zn6 0.2500 0.1634 0.3262  8 Zn 2.75-2.88, 4 Mg 2.82-2.91
Mg1 0.7500 0.3331 0.6669  12 Zn 2.82-2.91
Mg2 0.2500 0.6669 0.3331  12 Zn 2.82-2.91

The calculation puts the formation energy at -58 meV per atom. The space group is No. 194.


Record 14
Sr2ZnF6 after structural relaxation. Source: Alexandria, functional PBE.

Cell lengths 5.5786, 6.5312, 7.7660 Å; angles 90.00, 94.07, 90.00 degrees
With the nearest neighbours (Å) after each atom.
Atoms (fractional coordinates):
F1 0.1912 0.3506 0.0545  1 Zn 2.05
F2 0.6912 0.1494 0.5545  1 Zn 2.05
F3 0.8710 0.9516 0.2555  1 Zn 2.01
F4 0.3609 0.7884 0.0652  1 Zn 2.11
F5 0.8609 0.7116 0.5652  1 Zn 2.11
F6 0.3710 0.5484 0.7555  1 Zn 2.01
F7 0.6391 0.2116 0.9348  1 Zn 2.11
F8 0.8088 0.6494 0.9455  1 Zn 2.05
F9 0.3088 0.8506 0.4455  1 Zn 2.05
F10 0.1290 0.0484 0.7445  1 Zn 2.01
F11 0.6290 0.4516 0.2445  1 Zn 2.01
F12 0.1391 0.2884 0.4348  1 Zn 2.11
Sr1 0.4656 0.1019 0.2436  8 F 2.46-2.74
Sr2 0.0344 0.6019 0.2564  8 F 2.46-2.74
Sr3 0.5344 0.8981 0.7564  8 F 2.46-2.74
Sr4 0.9656 0.3981 0.7436  8 F 2.46-2.74
Zn1 0.0000 0.0000 0.5000  6 F 2.01-2.11
Zn2 0.5000 0.5000 0.0000  6 F 2.01-2.11

As for the formation energy from raw total energies: -3.360 eV/atom. The space group is No. 14.


Record 15
Zn4Co after structural relaxation. Source: Alexandria, functional PBE.

Cell lengths 3.0165, 3.0165, 7.8092 Å; angles 101.14, 101.14, 90.00 degrees
With the nearest neighbours (Å) after each atom.
Atoms (fractional coordinates):
Zn1 0.5868 0.5868 0.1736  4 Co 2.50, 5 Zn 2.61-2.67
Zn2 0.1934 0.1934 0.3868  8 Zn 2.67-2.73, 1 Co 2.91
Zn3 0.8066 0.8066 0.6132  8 Zn 2.67-2.73, 1 Co 2.91
Zn4 0.4132 0.4132 0.8264  4 Co 2.50, 5 Zn 2.61-2.67
Co1 0.0000 0.0000 0.0000  8 Zn 2.50

The value obtained for the energy above the most stable polymorph in this dataset is 0.039 eV/atom. The calculation puts the formation energy at 14 meV per atom. The space group is No. 139.


Record 16
TaBO2 after structural relaxation. Source: Alexandria, functional PBE.

Cell lengths 6.2552, 6.2552, 6.2552 Å; angles 24.18, 24.18, 24.18 degrees
With the nearest neighbours (Å) after each atom.
Atoms (fractional coordinates):
O1 0.1188 0.1188 0.1188  3 B 1.75
O2 0.8812 0.8812 0.8812  3 B 1.75
Ta1 0.0000 0.0000 0.0000  2 O 2.16
B1 0.5000 0.5000 0.5000  6 O 1.75

As for the formation energy from raw total energies: -0.891 eV/atom. The space group is No. 166.


Record 17
BeTl2Pt after structural relaxation. Source: Alexandria, functional PBE.

Cell lengths 3.6942, 3.7078, 5.7269 Å; angles 90.00, 90.00, 90.00 degrees
With the nearest neighbours (Å) after each atom.
Atoms (fractional coordinates):
Tl1 0.0000 0.0000 0.4996  2 Tl 2.86-2.87, 4 Be 2.98, 4 Pt 2.98
Tl2 0.0000 0.0000 0.0004  2 Tl 2.86-2.87, 4 Be 2.98, 4 Pt 2.98
Pt1 0.5000 0.5000 0.7500  2 Be 2.86, 8 Tl 2.98
Be1 0.5000 0.5000 0.2500  2 Pt 2.86, 8 Tl 2.98

The value obtained for the energy above the most stable polymorph in this dataset is 0.551 eV/atom. The calculation puts the formation energy at 461 meV per atom. The space group is No. 47.


Record 18
YHfMo4 after structural relaxation. Source: Alexandria, functional PBE.

Cell lengths 5.4375, 5.4375, 5.4375 Å; angles 60.00, 60.00, 60.00 degrees
With the nearest neighbours (Å) after each atom.
Atoms (fractional coordinates):
Y1 0.2500 0.2500 0.2500  12 Mo 3.19, 4 Hf 3.33
Mo1 0.6250 0.6250 0.6250  6 Mo 2.72
Mo2 0.1250 0.6250 0.6250  6 Mo 2.72
Mo3 0.6250 0.6250 0.1250  6 Mo 2.72
Mo4 0.6250 0.1250 0.6250  6 Mo 2.72
Hf1 0.0000 0.0000 0.0000  12 Mo 3.19, 4 Y 3.33

The calculation puts the formation energy at -11 meV per atom. The space group is No. 216.


Record 19
Ba6NaAgIr after structural relaxation. Source: Alexandria, functional PBE.

Cell lengths 8.4001, 8.4001, 7.9459 Å; angles 90.00, 90.00, 59.99 degrees
With the nearest neighbours (Å) after each atom.
Atoms (fractional coordinates):
Ba1 0.0250 0.6216 0.7245  1 Ir 3.08, 1 Ag 3.35
Ba2 0.6215 0.3534 0.7245  1 Ir 3.08, 1 Ag 3.35
Ba3 0.6216 0.0250 0.2754  1 Ir 3.08, 1 Ag 3.35
Ba4 0.3534 0.0251 0.7245  1 Ir 3.08, 1 Ag 3.35
Ba5 0.0250 0.3534 0.2754  1 Ir 3.08, 1 Ag 3.35
Ba6 0.3534 0.6216 0.2754  1 Ir 3.08, 1 Ag 3.35
Ag1 0.6666 0.6667 0.5000  6 Ba 3.35
Ir1 0.3333 0.3333 0.5000  6 Ba 3.08
Na1 0.0000 0.0000 0.0000  6 Ba 3.78

The calculation puts the formation energy at -100 meV per atom. The space group is No. 149.


Record 20
LiLaTl2 after structural relaxation. Source: Alexandria, functional PBE.

Cell lengths 3.8715, 3.8715, 7.4292 Å; angles 90.00, 90.00, 90.00 degrees
With the nearest neighbours (Å) after each atom.
Atoms (fractional coordinates):
Tl1 0.5000 0.5000 0.2283  1 Li 3.11, 4 Tl 3.37, 4 La 3.40
Tl2 0.0000 0.0000 0.9629  4 Li 2.96
La1 0.0000 0.0000 0.4989  5 Tl 3.40-3.45, 4 Li 3.58
Li1 0.5000 0.5000 0.8099  5 Tl 2.96-3.11

The calculation puts the formation energy at -149 meV per atom. The space group is No. 99.